Record 1
First-principles (PBE) data for a geometry-optimized GaAs2SeCl structure, as listed in Alexandria.

## Properties
Its raw formation energy is 884 meV/atom. The uncorrected energy is -2.65 eV/atom. Its theoretical density is 4.3 g/cm³. As for the energy above the lowest structure with this stoichiometry: 313 meV per atom.

```
data_GaAs2SeCl
_chemical_formula_sum 'Ga1 As2 Se1 Cl1'
_symmetry_space_group_name_H-M 'P 4/m m m'
_symmetry_Int_Tables_number 123
_symmetry_space_group_name_Hall '-P 4 2'
_cell_length_a 4.913
_cell_length_b 4.913
_cell_length_c 5.346
_cell_angle_alpha 90.00
_cell_angle_beta 90.00
_cell_angle_gamma 90.00
loop_
_atom_site_label
_atom_site_fract_x
_atom_site_fract_y
_atom_site_fract_z
Ga1 0.000 0.000 0.000
As1 0.000 0.500 0.500
Se1 0.500 0.500 0.000
Cl1 0.500 0.500 0.500
```

Record 2
First-principles (PBE) data for a geometry-optimized ErGaAs2O8 structure, as listed in Alexandria.

## Properties
Its raw formation energy is -1775 meV/atom. The uncorrected energy is -6.49 eV/atom. Its theoretical density is 5.8 g/cm³.

```
data_ErGaAs2O8
_chemical_formula_sum 'Er2 Ga2 As4 O16'
_symmetry_space_group_name_H-M 'I -4 m 2'
_symmetry_Int_Tables_number 119
_symmetry_space_group_name_Hall 'I -4 -2'
_cell_length_a 6.912
_cell_length_b 6.912
_cell_length_c 6.188
_cell_angle_alpha 90.00
_cell_angle_beta 90.00
_cell_angle_gamma 90.00
loop_
_atom_site_label
_atom_site_fract_x
_atom_site_fract_y
_atom_site_fract_z
Er1 0.000 0.000 0.000
Ga1 0.000 0.500 0.250
As1 0.000 0.000 0.500
As2 0.000 0.500 0.750
O1 0.000 0.189 0.317
O2 0.000 0.320 0.941
```

Record 3
First-principles (PBE) data for a geometry-optimized NaTaCd structure, as listed in Alexandria.

## Properties
The uncorrected energy is -4.26 eV/atom. Its theoretical density is 7.8 g/cm³. As for the energy above the lowest structure with this stoichiometry: 294 meV per atom. The calculation puts the energy of formation from the pure elements at 0.432 eV per atom.

```
data_NaTaCd
_chemical_formula_sum 'Na2 Ta2 Cd2'
_symmetry_space_group_name_H-M 'P 1'
_symmetry_Int_Tables_number 1
_cell_length_a 2.937
_cell_length_b 5.922
_cell_length_c 8.308
_cell_angle_alpha 73.04
_cell_angle_beta 89.98
_cell_angle_gamma 76.42
loop_
_symmetry_equiv_pos_as_xyz
'x,y,z'
loop_
_atom_site_label
_atom_site_fract_x
_atom_site_fract_y
_atom_site_fract_z
Na1 0.000 0.000 0.000
Na2 0.283 0.463 0.057
Ta1 0.607 0.810 0.679
Ta2 0.973 0.090 0.425
Cd1 0.331 0.345 0.667
Cd2 0.673 0.659 0.346
```

Record 4
First-principles (PBE) data for a geometry-optimized CeDyCdRu structure, as listed in Alexandria.

## Properties
The uncorrected energy is -5.38 eV/atom. Its theoretical density is 9.3 g/cm³. As for the energy above the lowest structure with this stoichiometry: 142 meV per atom. The calculation puts the energy of formation from the pure elements at -0.201 eV per atom.

```
data_CeDyCdRu
_chemical_formula_sum 'Ce4 Dy4 Cd4 Ru4'
_symmetry_space_group_name_H-M 'F -4 3 m'
_symmetry_Int_Tables_number 216
_symmetry_space_group_name_Hall 'F -4 2 3'
_cell_length_a 7.183
_cell_length_b 7.183
_cell_length_c 7.183
_cell_angle_alpha 90.00
_cell_angle_beta 90.00
_cell_angle_gamma 90.00
loop_
_atom_site_label
_atom_site_fract_x
_atom_site_fract_y
_atom_site_fract_z
Ce1 0.000 0.000 0.000
Dy1 0.000 0.000 0.500
Cd1 0.250 0.250 0.250
Ru1 0.250 0.250 0.750
```

Record 5
First-principles (PBE) data for a geometry-optimized AlFeH3 structure, as listed in Alexandria.

## Properties
The uncorrected energy is -4.33 eV/atom. Its theoretical density is 4.3 g/cm³. As for the energy above the lowest structure with this stoichiometry: 218 meV per atom.

```
data_AlFeH3
_chemical_formula_sum 'Al1 Fe1 H3'
_symmetry_space_group_name_H-M 'P m -3 m'
_symmetry_Int_Tables_number 221
_symmetry_space_group_name_Hall '-P 4 2 3'
_cell_length_a 3.223
_cell_length_b 3.223
_cell_length_c 3.223
_cell_angle_alpha 90.00
_cell_angle_beta 90.00
_cell_angle_gamma 90.00
loop_
_atom_site_label
_atom_site_fract_x
_atom_site_fract_y
_atom_site_fract_z
Al1 0.000 0.000 0.000
Fe1 0.500 0.500 0.500
H1 0.000 0.500 0.500
```

Record 6
First-principles (PBE) data for a geometry-optimized Li6Zn2Pd3 structure, as listed in Alexandria.

## Properties
The uncorrected energy is -2.71 eV/atom. Its theoretical density is 4.3 g/cm³. The calculation puts the energy of formation from the pure elements at -0.014 eV per atom.

```
data_Li6Zn2Pd3
_chemical_formula_sum 'Li12 Zn4 Pd6'
_symmetry_space_group_name_H-M 'I 4/m m m'
_symmetry_Int_Tables_number 139
_symmetry_space_group_name_Hall '-I 4 2'
_cell_length_a 4.548
_cell_length_b 4.548
_cell_length_c 18.420
_cell_angle_alpha 90.00
_cell_angle_beta 90.00
_cell_angle_gamma 90.00
loop_
_atom_site_label
_atom_site_fract_x
_atom_site_fract_y
_atom_site_fract_z
Li1 0.000 0.000 0.208
Li2 0.000 0.500 0.096
Zn1 0.000 0.000 0.063
Pd1 0.000 0.000 0.347
Pd2 0.000 0.000 0.500
```

Record 7
First-principles (PBE) data for a geometry-optimized CeSn3Pd2 structure, as listed in Alexandria.

## Properties
The uncorrected energy is -5.36 eV/atom. Its theoretical density is 8.6 g/cm³. The calculation puts the energy of formation from the pure elements at -0.636 eV per atom.

```
data_CeSn3Pd2
_chemical_formula_sum 'Ce4 Sn12 Pd8'
_symmetry_space_group_name_H-M 'P b c m'
_symmetry_Int_Tables_number 57
_cell_length_a 13.953
_cell_length_b 6.327
_cell_length_c 6.212
_cell_angle_alpha 90.00
_cell_angle_beta 90.00
_cell_angle_gamma 90.00
loop_
_symmetry_equiv_pos_as_xyz
'x,y,z'
'-x,-y,-z'
'-x,-y,z+1/2'
'x,y,-z+1/2'
'x,-y+1/2,-z'
'-x,y+1/2,z'
'-x,y+1/2,-z+1/2'
'x,-y+1/2,z+1/2'
loop_
_atom_site_label
_atom_site_fract_x
_atom_site_fract_y
_atom_site_fract_z
Ce1 0.201 0.014 0.250
Sn1 0.003 0.250 0.000
Sn2 0.304 0.520 0.250
Sn3 0.439 0.606 0.750
Pd1 0.115 0.511 0.250
Pd2 0.406 0.250 0.000
```

Record 8
First-principles (PBE) data for a geometry-optimized Pu2MnGe6Rh structure, as listed in Alexandria.

## Properties
The uncorrected energy is -7.58 eV/atom. Its theoretical density is 9.2 g/cm³. The calculation puts the energy of formation from the pure elements at -0.291 eV per atom.

```
data_Pu2MnGe6Rh
_chemical_formula_sum 'Pu12 Mn6 Ge36 Rh6'
_symmetry_space_group_name_H-M 'R -3 m'
_symmetry_Int_Tables_number 166
_symmetry_space_group_name_Hall '-R 3 2"'
_cell_length_a 6.1104
_cell_length_b 6.1104
_cell_length_c 36.2531
_cell_angle_alpha 90.00
_cell_angle_beta 90.00
_cell_angle_gamma 120.00
loop_
_atom_site_label
_atom_site_fract_x
_atom_site_fract_y
_atom_site_fract_z
Pu1 0.0000 0.0000 0.1096
Pu2 0.0000 0.0000 0.2959
Mn1 0.0000 0.0000 0.0000
Mn2 0.0000 0.0000 0.5000
Ge1 0.0436 0.5218 0.2943
Ge2 0.0601 0.5301 0.8690
Rh1 0.0000 0.0000 0.4279
```

Record 9
First-principles (PBE) data for a geometry-optimized LiCo2As structure, as listed in Alexandria.

## Properties
The uncorrected energy is -5.14 eV/atom. Its theoretical density is 6.9 g/cm³. The calculation puts the energy of formation from the pure elements at 0.054 eV per atom.

```
data_LiCo2As
_chemical_formula_sum 'Li2 Co4 As2'
_symmetry_space_group_name_H-M 'C 1 2/m 1'
_symmetry_Int_Tables_number 12
_cell_length_a 5.150
_cell_length_b 7.941
_cell_length_c 2.665
_cell_angle_alpha 90.00
_cell_angle_beta 117.57
_cell_angle_gamma 90.00
loop_
_symmetry_equiv_pos_as_xyz
'x,y,z'
'-x,-y,-z'
'-x,y,-z'
'x,-y,z'
'x+1/2,y+1/2,z'
'-x+1/2,-y+1/2,-z'
'-x+1/2,y+1/2,-z'
'x+1/2,-y+1/2,z'
loop_
_atom_site_label
_atom_site_fract_x
_atom_site_fract_y
_atom_site_fract_z
Li1 0.000 0.000 0.000
Co1 0.250 0.250 0.500
As1 0.000 0.500 0.000
```

Record 10
First-principles (PBE) data for a geometry-optimized GeSb2Te2 structure, as listed in Alexandria.

## Properties
Its raw formation energy is 296 meV/atom. The uncorrected energy is -3.53 eV/atom. Its theoretical density is 6.5 g/cm³. As for the energy above the lowest structure with this stoichiometry: 86 meV per atom.

```
data_GeSb2Te2
_chemical_formula_sum 'Ge2 Sb4 Te4'
_symmetry_space_group_name_H-M 'P 4/m b m'
_symmetry_Int_Tables_number 127
_symmetry_space_group_name_Hall '-P 4 2ab'
_cell_length_a 8.364
_cell_length_b 8.364
_cell_length_c 4.180
_cell_angle_alpha 90.00
_cell_angle_beta 90.00
_cell_angle_gamma 90.00
loop_
_atom_site_label
_atom_site_fract_x
_atom_site_fract_y
_atom_site_fract_z
Ge1 0.000 0.000 0.000
Sb1 0.143 0.357 0.500
Te1 0.176 0.676 0.000
```

Record 11
First-principles (PBE) data for a geometry-optimized La3P2Cl structure, as listed in Alexandria.

## Properties
Its raw formation energy is -1320 meV/atom. The uncorrected energy is -5.90 eV/atom. Its theoretical density is 4.1 g/cm³. As for the energy above the lowest structure with this stoichiometry: 385 meV per atom.

```
data_La3P2Cl
_chemical_formula_sum 'La12 P8 Cl4'
_symmetry_space_group_name_H-M 'C m c m'
_symmetry_Int_Tables_number 63
_symmetry_space_group_name_Hall '-C 2c 2'
_cell_length_a 4.240
_cell_length_b 16.444
_cell_length_c 11.812
_cell_angle_alpha 90.00
_cell_angle_beta 90.00
_cell_angle_gamma 90.00
loop_
_atom_site_label
_atom_site_fract_x
_atom_site_fract_y
_atom_site_fract_z
La1 0.000 0.001 0.250
La2 0.000 0.378 0.013
P1 0.000 0.000 0.000
P2 0.000 0.382 0.250
Cl1 0.000 0.365 0.750
```

Record 12
First-principles (PBE) data for a geometry-optimized CaSmNi structure, as listed in Alexandria.

## Properties
The uncorrected energy is -4.40 eV/atom. Its theoretical density is 4.9 g/cm³. As for the energy above the lowest structure with this stoichiometry: 0 meV per atom. The calculation puts the energy of formation from the pure elements at -0.234 eV per atom.

```
data_CaSmNi
_chemical_formula_sum 'Ca4 Sm4 Ni4'
_symmetry_space_group_name_H-M 'C m c m'
_symmetry_Int_Tables_number 63
_symmetry_space_group_name_Hall '-C 2c 2'
_cell_length_a 3.842
_cell_length_b 21.398
_cell_length_c 4.085
_cell_angle_alpha 90.00
_cell_angle_beta 90.00
_cell_angle_gamma 90.00
loop_
_atom_site_label
_atom_site_fract_x
_atom_site_fract_y
_atom_site_fract_z
Ca1 0.000 0.187 0.250
Sm1 0.000 0.431 0.250
Ni1 0.000 0.036 0.250
```